A relaxed Zn2InAg crystal. Source: Alexandria, functional PBE-GGA.

Properties
SG = Cmmm (65)
formation energy from the elements = 43 kJ/mol of formula units
raw total energy = -1.922 eV/atom
Fermi-level density of states = 0.23 states/eV/atom

Cell: 3.035 3.035 8.702 Å, 90.00 90.00 107.37°
Element x y z (fractional)
Zn: 0.000 0.000 0.482
Zn: 0.000 0.000 0.018
Ag: 0.500 0.500 0.250
In: 0.500 0.500 0.750


A relaxed Zn2InAg crystal. Source: Alexandria, functional PBE-GGA.

Properties
SG = P4mm (99)
formation energy from the elements = 23 kJ/mol of formula units
raw total energy = -1.975 eV/atom
Fermi-level density of states = 0.19 states/eV/atom

Cell: 3.038 3.038 8.006 Å, 90.00 90.00 89.99°
Element x y z (fractional)
In: 0.500 0.500 0.757
Zn: 0.500 0.500 0.241
Zn: 0.000 0.000 0.035
Ag: 0.000 0.000 0.467


A relaxed Zn3InAg crystal. Source: Alexandria, functional PBE-GGA.

Properties
SG = P6_3/mmc (194)
formation energy from the elements = 69 kJ/mol of formula units
distance to the lowest polymorph of the same formula = 0.000 eV per atom
raw total energy = -1.740 eV/atom
Fermi-level density of states = 0.22 states/eV/atom

Cell: 5.672 6.423 6.422 Å, 120.04 90.00 90.00°
Element x y z (fractional)
Zn: 0.750 0.200 0.800
Zn: 0.750 0.599 0.800
Zn: 0.250 0.800 0.200
Zn: 0.750 0.200 0.401
Zn: 0.250 0.401 0.200
Zn: 0.250 0.800 0.599
Ag: 0.500 0.000 0.000
Ag: 0.000 0.000 0.000
In: 0.750 0.667 0.333
In: 0.250 0.333 0.667


A relaxed Zn4InAg5 crystal. Source: Alexandria, functional PBE-GGA.

Properties
SG = P4/mmm (123)
formation energy from the elements = -25 kJ/mol of formula units
raw total energy = -2.235 eV/atom
Fermi-level density of states = 0.12 states/eV/atom

Cell: 3.227 3.227 16.409 Å, 90.00 90.00 90.00°
Element x y z (fractional)
Ag: 0.500 0.500 0.500
Ag: 0.500 0.500 0.878
Ag: 0.500 0.500 0.122
Ag: 0.500 0.500 0.690
Ag: 0.500 0.500 0.310
In: 0.000 0.000 0.000
Zn: 0.000 0.000 0.594
Zn: 0.000 0.000 0.406
Zn: 0.000 0.000 0.217
Zn: 0.000 0.000 0.783